(1)
DFT (SCAN) results for a PBEsol-optimized structure of YHSe.

Geometry as CIF:
```
data_YHSe
_symmetry_space_group_name_H-M 'P -6 m 2'
_symmetry_Int_Tables_number 187
_symmetry_space_group_name_Hall 'P -6 2'
_cell_length_a 3.7882
_cell_length_b 3.7882
_cell_length_c 3.8446
_cell_angle_alpha 90.00
_cell_angle_beta 90.00
_cell_angle_gamma 120.00
loop_
_atom_site_label
_atom_site_type_symbol
_atom_site_fract_x
_atom_site_fract_y
_atom_site_fract_z
Y1 Y 0.0000 0.0000 0.0000
H1 H 0.3333 0.6667 0.0000
Se1 Se 0.6667 0.3333 0.5000
```

(2)
# SCAN HfScOs2, single point on PBEsol structure
data_HfScOs2
_symmetry_space_group_name_H-M 'F m -3 m'
_symmetry_Int_Tables_number 225
_symmetry_space_group_name_Hall '-F 4 2 3'
_cell_length_a 6.387
_cell_length_b 6.387
_cell_length_c 6.387
_cell_angle_alpha 90.00
_cell_angle_beta 90.00
_cell_angle_gamma 90.00
loop_
_atom_site_label
_atom_site_type_symbol
_atom_site_fract_x
_atom_site_fract_y
_atom_site_fract_z
Hf1 Hf 0.000 0.000 0.000
Sc1 Sc 0.000 0.000 0.500
Os1 Os 0.250 0.250 0.250
# E_form   -0.755 eV/atom

no.,M_tot (μB/atom),E (eV/atom),DOS at the Fermi energy (states/eV/atom)
1,0.000,-18.782,0.0000
2,0.000,-55.922,0.6513